1.
VASP calculation (PBE) on a relaxed structure of ScTaI3.

```
data_ScTaI3
_chemical_formula_sum 'Sc1 Ta1 I3'
_symmetry_space_group_name_H-M 'P m -3 m'
_symmetry_Int_Tables_number 221
_symmetry_space_group_name_Hall '-P 4 2 3'
_cell_length_a 5.5982
_cell_length_b 5.5982
_cell_length_c 5.5982
_cell_angle_alpha 90.00
_cell_angle_beta 90.00
_cell_angle_gamma 90.00
loop_
_atom_site_label
_atom_site_type_symbol
_atom_site_fract_x
_atom_site_fract_y
_atom_site_fract_z
_atom_site_occupancy
Sc1 Sc 0.0000 0.0000 0.0000 1
Ta1 Ta 0.5000 0.5000 0.5000 1
I1 I 0.0000 0.5000 0.5000 1
```

Properties
DOS(E_F): 5.935 states/eV/f.u.
total moment: 4.204 μB per formula unit
formation energy without anion corrections: 0.558 eV per atom
VASP energy: -4.01 eV/atom

2.
VASP calculation (PBE) on a relaxed structure of Tb6Mg23.

```
data_Tb6Mg23
_chemical_formula_sum 'Tb24 Mg92'
_symmetry_space_group_name_H-M 'F m -3 m'
_symmetry_Int_Tables_number 225
_symmetry_space_group_name_Hall '-F 4 2 3'
_cell_length_a 14.2564
_cell_length_b 14.2564
_cell_length_c 14.2564
_cell_angle_alpha 90.00
_cell_angle_beta 90.00
_cell_angle_gamma 90.00
loop_
_atom_site_label
_atom_site_type_symbol
_atom_site_fract_x
_atom_site_fract_y
_atom_site_fract_z
_atom_site_occupancy
Tb1 Tb 0.0000 0.0000 0.1932 1
Mg1 Mg 0.0000 0.0000 0.5000 1
Mg2 Mg 0.0000 0.2500 0.2500 1
Mg3 Mg 0.1201 0.1201 0.3799 1
Mg4 Mg 0.1685 0.1685 0.1685 1
```

Properties
DOS(E_F): 24.464 states/eV/f.u.
total moment: 0.000 μB per formula unit
VASP energy: -2.27 eV/atom
formation enthalpy at 0 K: -0.05 eV per atom

3.
VASP calculation (PBE) on a relaxed structure of Y2Sb2Se.

```
data_Y2Sb2Se
_chemical_formula_sum 'Y4 Sb4 Se2'
_symmetry_space_group_name_H-M 'P 4/m b m'
_symmetry_Int_Tables_number 127
_symmetry_space_group_name_Hall '-P 4 2ab'
_cell_length_a 8.3114
_cell_length_b 8.3114
_cell_length_c 4.0119
_cell_angle_alpha 90.00
_cell_angle_beta 90.00
_cell_angle_gamma 90.00
loop_
_atom_site_label
_atom_site_type_symbol
_atom_site_fract_x
_atom_site_fract_y
_atom_site_fract_z
_atom_site_occupancy
Y1 Y 0.1604 0.3396 0.0000 1
Sb1 Sb 0.1434 0.6434 0.5000 1
Se1 Se 0.0000 0.0000 0.5000 1
```

Properties
DOS(E_F): 1.517 states/eV/f.u.
total moment: 0.000 μB per formula unit
formation energy without anion corrections: -0.709 eV per atom
VASP energy: -5.64 eV/atom

4.
VASP calculation (PBE) on a relaxed structure of LaMo.

```
data_LaMo
_chemical_formula_sum 'La4 Mo4'
_symmetry_space_group_name_H-M 'C 1 2/m 1'
_symmetry_Int_Tables_number 12
_cell_length_a 5.5008
_cell_length_b 9.9815
_cell_length_c 4.4713
_cell_angle_alpha 90.00
_cell_angle_beta 127.44
_cell_angle_gamma 90.00
loop_
_symmetry_equiv_pos_as_xyz
'x,y,z'
'-x,-y,-z'
'-x,y,-z'
'x,-y,z'
'x+1/2,y+1/2,z'
'-x+1/2,-y+1/2,-z'
'-x+1/2,y+1/2,-z'
'x+1/2,-y+1/2,z'
loop_
_atom_site_label
_atom_site_type_symbol
_atom_site_fract_x
_atom_site_fract_y
_atom_site_fract_z
_atom_site_occupancy
La1 La 0.0000 0.1724 0.0000 1
Mo1 Mo 0.1622 0.5000 0.3267 1
```

Properties
DOS(E_F): 2.015 states/eV/f.u.
total moment: 0.000 μB per formula unit
VASP energy: -7.49 eV/atom
formation enthalpy at 0 K: 0.39 eV per atom

5.
VASP calculation (PBE) on a relaxed structure of K4Al3Si3ClO12.

```
data_K4Al3Si3ClO12
_chemical_formula_sum 'K8 Al6 Si6 Cl2 O24'
_symmetry_space_group_name_H-M 'P -4 3 n'
_symmetry_Int_Tables_number 218
_symmetry_space_group_name_Hall 'P -4n 2 3'
_cell_length_a 9.3708
_cell_length_b 9.3708
_cell_length_c 9.3708
_cell_angle_alpha 90.00
_cell_angle_beta 90.00
_cell_angle_gamma 90.00
loop_
_atom_site_label
_atom_site_type_symbol
_atom_site_fract_x
_atom_site_fract_y
_atom_site_fract_z
_atom_site_occupancy
K1 K 0.1847 0.1847 0.1847 1
Al1 Al 0.0000 0.2500 0.5000 1
Si1 Si 0.0000 0.5000 0.2500 1
Cl1 Cl 0.0000 0.0000 0.0000 1
O1 O 0.0203 0.3557 0.6535 1
```

Properties
DOS(E_F): 0.000 states/eV/f.u.
total moment: 0.116 μB per formula unit
formation energy without anion corrections: -2.723 eV per atom
VASP energy: -6.78 eV/atom

6.
VASP calculation (PBE) on a relaxed structure of PaGaAs.

```
data_PaGaAs
_chemical_formula_sum 'Pa1 Ga1 As1'
_symmetry_space_group_name_H-M 'P -6 m 2'
_symmetry_Int_Tables_number 187
_symmetry_space_group_name_Hall 'P -6 2'
_cell_length_a 4.4760
_cell_length_b 4.4760
_cell_length_c 3.6046
_cell_angle_alpha 90.00
_cell_angle_beta 90.00
_cell_angle_gamma 120.00
loop_
_atom_site_label
_atom_site_type_symbol
_atom_site_fract_x
_atom_site_fract_y
_atom_site_fract_z
_atom_site_occupancy
Pa1 Pa 0.0000 0.0000 0.0000 1
Ga1 Ga 0.6667 0.3333 0.5000 1
As1 As 0.3333 0.6667 0.5000 1
```

Properties
DOS(E_F): 3.792 states/eV/f.u.
total moment: 0.000 μB per formula unit
VASP energy: -6.11 eV/atom
formation enthalpy at 0 K: -0.39 eV per atom

7.
VASP calculation (PBE) on a relaxed structure of Fe4SiOs.

```
data_Fe4SiOs
_chemical_formula_sum 'Fe16 Si4 Os4'
_symmetry_space_group_name_H-M 'F -4 3 m'
_symmetry_Int_Tables_number 216
_symmetry_space_group_name_Hall 'F -4 2 3'
_cell_length_a 6.5957
_cell_length_b 6.5957
_cell_length_c 6.5957
_cell_angle_alpha 90.00
_cell_angle_beta 90.00
_cell_angle_gamma 90.00
loop_
_atom_site_label
_atom_site_type_symbol
_atom_site_fract_x
_atom_site_fract_y
_atom_site_fract_z
_atom_site_occupancy
Fe1 Fe 0.1250 0.1250 0.1250 1
Si1 Si 0.0000 0.0000 0.5000 1
Os1 Os 0.2500 0.2500 0.7500 1
```

Properties
DOS(E_F): 6.898 states/eV/f.u.
total moment: 7.849 μB per formula unit
formation energy without anion corrections: 0.183 eV per atom
VASP energy: -8.23 eV/atom

8.
VASP calculation (PBE) on a relaxed structure of KAlCu2Pt.

```
data_KAlCu2Pt
_chemical_formula_sum 'K1 Al1 Cu2 Pt1'
_symmetry_space_group_name_H-M 'P 4/m m m'
_symmetry_Int_Tables_number 123
_symmetry_space_group_name_Hall '-P 4 2'
_cell_length_a 4.5741
_cell_length_b 4.5741
_cell_length_c 5.6149
_cell_angle_alpha 90.00
_cell_angle_beta 90.00
_cell_angle_gamma 90.00
loop_
_atom_site_label
_atom_site_type_symbol
_atom_site_fract_x
_atom_site_fract_y
_atom_site_fract_z
_atom_site_occupancy
K1 K 0.0000 0.0000 0.0000 1
Al1 Al 0.0000 0.0000 0.5000 1
Cu1 Cu 0.0000 0.5000 0.5000 1
Pt1 Pt 0.5000 0.5000 0.0000 1
```

Properties
DOS(E_F): 3.118 states/eV/f.u.
total moment: 0.000 μB per formula unit
VASP energy: -2.85 eV/atom
formation enthalpy at 0 K: 0.97 eV per atom